Compound: PaTlTe4
Source: the Alexandria database
Functional: GGA-PBE
Structure: relaxed

abc: 6.879 6.879 8.630
angles: 90.00 90.00 90.00
Atoms (fractional coordinates):
Te 0.842 0.342 0.207
Te 0.842 0.658 0.793
Te 0.158 0.342 0.793
Te 0.158 0.658 0.207
Te 0.342 0.842 0.793
Te 0.342 0.158 0.207
Te 0.658 0.842 0.207
Te 0.658 0.158 0.793
Tl 0.000 0.000 0.500
Tl 0.500 0.500 0.500
Pa 0.000 0.000 0.000
Pa 0.500 0.500 0.000

## Properties
Distance to the lowest polymorph of the same formula ... 0 meV/atom
Total DFT energy (no corrections) ... -4.578 eV/atom
Symmetry ... P4/nbm (125)
Crystal system ... tetragonal
Raw formation energy ... -293.4 kJ/mol of formula units